Here is a PBEsol-optimized structure of Mn2TlPdN from Alexandria via LeMat-Bulk. Energies are from meta-GGA SCAN.

## Properties
Raw formation energy   0.58 eV per atom
Crystal system   tetragonal

```
data_Mn2TlPdN
_cell_length_a 3.660
_cell_length_b 5.004
_cell_length_c 5.004
_cell_angle_alpha 90.00
_cell_angle_beta 90.00
_cell_angle_gamma 90.00
_symmetry_space_group_name_H-M 'P 1'
_symmetry_Int_Tables_number 1
loop_
_symmetry_equiv_pos_as_xyz
'x,y,z'
loop_
_atom_site_label
_atom_site_type_symbol
_atom_site_fract_x
_atom_site_fract_y
_atom_site_fract_z
Tl1 Tl 0.500 0.500 0.500
Mn1 Mn 0.000 0.000 0.500
Mn2 Mn 0.000 0.500 0.000
Pd1 Pd 0.000 0.000 0.000
N1 N 0.500 0.000 0.000
```

=====

Here is a PBEsol-optimized structure of YReTe4 from Alexandria via LeMat-Bulk. Energies are from meta-GGA SCAN.

## Properties
Raw formation energy   0.97 eV per atom
Crystal system   cubic

```
data_YReTe4
_cell_length_a 6.100
_cell_length_b 6.100
_cell_length_c 6.100
_cell_angle_alpha 60.00
_cell_angle_beta 60.00
_cell_angle_gamma 60.00
_symmetry_space_group_name_H-M 'P 1'
_symmetry_Int_Tables_number 1
loop_
_symmetry_equiv_pos_as_xyz
'x,y,z'
loop_
_atom_site_label
_atom_site_type_symbol
_atom_site_fract_x
_atom_site_fract_y
_atom_site_fract_z
Re1 Re 0.000 0.000 0.000
Te1 Te 0.374 0.374 0.374
Te2 Te 0.374 0.374 0.877
Te3 Te 0.877 0.374 0.374
Te4 Te 0.374 0.877 0.374
Y1 Y 0.750 0.750 0.750
```

=====

Here is a PBEsol-optimized structure of Cu2SbOs from Alexandria via LeMat-Bulk. Energies are from meta-GGA SCAN.

## Properties
Raw formation energy   0.33 eV per atom
Crystal system   tetragonal

```
data_Cu2SbOs
_cell_length_a 3.250
_cell_length_b 3.250
_cell_length_c 5.525
_cell_angle_alpha 90.00
_cell_angle_beta 90.00
_cell_angle_gamma 90.00
_symmetry_space_group_name_H-M 'P 1'
_symmetry_Int_Tables_number 1
loop_
_symmetry_equiv_pos_as_xyz
'x,y,z'
loop_
_atom_site_label
_atom_site_type_symbol
_atom_site_fract_x
_atom_site_fract_y
_atom_site_fract_z
Cu1 Cu 0.000 0.000 0.033
Cu2 Cu 0.500 0.500 0.225
Os1 Os 0.000 0.000 0.497
Sb1 Sb 0.500 0.500 0.745
```

=====

Here is a PBEsol-optimized structure of TbAu3 from Alexandria via LeMat-Bulk. Energies are from meta-GGA SCAN.

## Properties
Crystal system   cubic
Formation energy   -0.804 eV per atom

```
data_TbAu3
_cell_length_a 4.788
_cell_length_b 4.788
_cell_length_c 4.788
_cell_angle_alpha 60.00
_cell_angle_beta 60.00
_cell_angle_gamma 60.00
_symmetry_space_group_name_H-M 'P 1'
_symmetry_Int_Tables_number 1
loop_
_symmetry_equiv_pos_as_xyz
'x,y,z'
loop_
_atom_site_label
_atom_site_type_symbol
_atom_site_fract_x
_atom_site_fract_y
_atom_site_fract_z
Au1 Au 0.750 0.750 0.750
Au2 Au 0.250 0.250 0.250
Au3 Au 0.000 0.000 0.000
Tb1 Tb 0.500 0.500 0.500
```

=====

What are the V values for these records? In order: 92 161 58 78 Å³ per cell.